[1]
A plane-wave DFT calculation with PBE was carried out for a relaxed CrSb3 crystal.

Structure (POSCAR):
```
CrSb3
1.0
4.218 2.435 1.714
-4.218 2.435 1.714
0.000 -4.870 1.714
Cr Sb
1 3
Direct
0.000 0.000 0.000 Cr
0.000 0.500 0.500 Sb
0.500 0.000 0.500 Sb
0.500 0.500 0.000 Sb
```

- E_form (uncorrected) (meV/atom) = 317
- space-group type = R-3m, No. 166

***

[2]
A plane-wave DFT calculation with PBE was carried out for a relaxed Ca3PuNb3N8 crystal.

Structure (POSCAR):
```
Ca3PuNb3N8
1.0
3.221 1.860 5.651
-3.221 1.860 5.651
0.000 -3.720 5.651
Ca Pu Nb N
3 1 3 8
Direct
0.000 0.500 0.500 Ca
0.500 0.000 0.500 Ca
0.500 0.500 0.000 Ca
0.500 0.500 0.500 Pu
0.000 0.000 0.500 Nb
0.000 0.500 0.000 Nb
0.500 0.000 0.000 Nb
0.230 0.735 0.735 N
0.240 0.240 0.240 N
0.265 0.265 0.770 N
0.265 0.770 0.265 N
0.735 0.230 0.735 N
0.735 0.735 0.230 N
0.760 0.760 0.760 N
0.770 0.265 0.265 N
```

- E_form (uncorrected) (meV/atom) = -1036
- space-group type = R-3m, No. 166

***

[3]
A plane-wave DFT calculation with PBE was carried out for a relaxed Li2CePbF8 crystal.

Structure (POSCAR):
```
Li2CePbF8
1.0
5.532 0.000 0.000
-2.766 4.791 0.000
0.000 0.000 7.568
Li Ce Pb F
2 1 1 8
Direct
0.333 0.667 0.184 Li
0.667 0.333 0.816 Li
0.000 0.000 0.500 Ce
0.000 0.000 0.000 Pb
0.163 0.326 0.301 F
0.163 0.837 0.301 F
0.326 0.163 0.699 F
0.333 0.667 0.952 F
0.667 0.333 0.048 F
0.674 0.837 0.301 F
0.837 0.163 0.699 F
0.837 0.674 0.699 F
```

- E_form (uncorrected) (meV/atom) = -2957
- space-group type = P-3m1, No. 164

***

[4]
A plane-wave DFT calculation with PBE was carried out for a relaxed Ba8Ag2IrAu crystal.

Structure (POSCAR):
```
Ba8Ag2IrAu
1.0
7.685 0.000 0.000
0.000 9.630 0.000
-0.002 0.000 7.937
Ba Ag Ir Au
8 2 1 1
Direct
0.223 0.234 0.338 Ba
0.223 0.766 0.338 Ba
0.244 0.000 0.810 Ba
0.263 0.500 0.827 Ba
0.737 0.500 0.173 Ba
0.756 0.000 0.190 Ba
0.777 0.234 0.662 Ba
0.777 0.766 0.662 Ba
0.500 0.243 0.000 Ag
0.500 0.757 0.000 Ag
0.000 0.000 0.500 Ir
0.000 0.500 0.500 Au
```

- energy of formation from the pure elements (eV/atom) = -0.26
- space-group type = P2/m, No. 10

***

[5]
A plane-wave DFT calculation with PBE was carried out for a relaxed Na2InGaBr4 crystal.

Structure (POSCAR):
```
Na2InGaBr4
1.0
7.643 0.000 0.000
0.000 4.402 0.000
-2.547 0.000 7.383
Na In Ga Br
2 1 1 4
Direct
0.000 0.000 0.000 Na
0.500 0.500 0.000 Na
0.000 0.500 0.500 In
0.500 0.000 0.500 Ga
0.251 0.500 0.230 Br
0.266 0.000 0.777 Br
0.734 0.000 0.223 Br
0.749 0.500 0.770 Br
```

- E_form (uncorrected) (meV/atom) = -1058
- space-group type = P2/m, No. 10

***

[6]
A plane-wave DFT calculation with PBE was carried out for a relaxed Zr2InFe crystal.

Structure (POSCAR):
```
Zr2InFe
1.0
-2.071 2.071 4.629
2.071 -2.071 4.629
2.071 2.071 -4.629
Zr In Fe
2 1 1
Direct
0.000 0.000 0.000 Zr
0.750 0.250 0.500 Zr
0.500 0.500 0.000 In
0.250 0.750 0.500 Fe
```

- energy of formation from the pure elements (eV/atom) = 0.00
- space-group type = I-4m2, No. 119

***

[7]
A plane-wave DFT calculation with PBE was carried out for a relaxed TeNF crystal.

Structure (POSCAR):
```
TeNF
1.0
4.148 -1.561 0.000
4.148 1.561 0.000
-0.817 0.000 10.296
Te N F
2 2 2
Direct
0.125 0.125 0.107 Te
0.875 0.875 0.893 Te
0.447 0.447 0.530 N
0.553 0.553 0.470 N
0.084 0.084 0.795 F
0.916 0.916 0.205 F
```

- E_form (uncorrected) (meV/atom) = -640
- space-group type = C2/m, No. 12

***

[8]
A plane-wave DFT calculation with PBE was carried out for a relaxed Tb2TlCl crystal.

Structure (POSCAR):
```
Tb2TlCl
1.0
1.805 1.042 9.161
-1.805 1.042 9.161
0.000 -2.085 9.161
Tb Tl Cl
2 1 1
Direct
0.000 0.000 0.000 Tb
0.153 0.153 0.153 Tb
0.576 0.576 0.576 Tl
0.743 0.743 0.743 Cl
```

- E_form (uncorrected) (meV/atom) = -782
- space-group type = R3m, No. 160

***

[9]
A plane-wave DFT calculation with PBE was carried out for a relaxed HoNbNi4 crystal.

Structure (POSCAR):
```
HoNbNi4
1.0
0.000 3.490 3.490
3.490 0.000 3.490
3.490 3.490 0.000
Ho Nb Ni
1 1 4
Direct
0.000 0.000 0.000 Ho
0.250 0.250 0.250 Nb
0.126 0.625 0.625 Ni
0.625 0.126 0.625 Ni
0.625 0.625 0.126 Ni
0.625 0.625 0.625 Ni
```

- energy of formation from the pure elements (eV/atom) = -0.21
- space-group type = F-43m, No. 216

***

[10]
A plane-wave DFT calculation with PBE was carried out for a relaxed HgGeBi2 crystal.

Structure (POSCAR):
```
HgGeBi2
1.0
2.109 1.217 7.456
-2.109 1.217 7.456
0.000 -2.435 7.456
Hg Ge Bi
1 1 2
Direct
0.000 0.000 0.000 Hg
0.500 0.500 0.500 Ge
0.243 0.243 0.243 Bi
0.757 0.757 0.757 Bi
```

- energy of formation from the pure elements (eV/atom) = 0.15
- space-group type = R-3m, No. 166

***

[11]
A plane-wave DFT calculation with PBE was carried out for a relaxed TaSb2Cl crystal.

Structure (POSCAR):
```
TaSb2Cl
1.0
3.288 0.000 0.000
0.000 5.049 0.000
0.000 0.000 5.299
Ta Sb Cl
1 2 1
Direct
0.000 0.000 0.000 Ta
0.000 0.500 0.500 Sb
0.500 0.500 0.000 Sb
0.500 0.000 0.500 Cl
```

- E_form (uncorrected) (meV/atom) = 541
- space-group type = Pmmm, No. 47

***

[12]
A plane-wave DFT calculation with PBE was carried out for a relaxed TmInPd4 crystal.

Structure (POSCAR):
```
TmInPd4
1.0
4.757 -1.923 0.000
4.757 1.923 0.000
-2.243 0.000 5.792
Tm In Pd
1 1 4
Direct
0.000 0.000 0.000 Tm
0.000 0.000 0.500 In
0.333 0.333 0.174 Pd
0.336 0.336 0.666 Pd
0.664 0.664 0.334 Pd
0.667 0.667 0.826 Pd
```

- energy of formation from the pure elements (eV/atom) = -0.68
- space-group type = C2/m, No. 12

***

[13]
A plane-wave DFT calculation with PBE was carried out for a relaxed SmSc2Mo crystal.

Structure (POSCAR):
```
SmSc2Mo
1.0
3.380 0.000 0.000
0.000 3.380 0.000
0.000 0.000 8.267
Sm Sc Mo
1 2 1
Direct
0.000 0.000 0.000 Sm
0.500 0.500 0.311 Sc
0.500 0.500 0.689 Sc
0.000 0.000 0.500 Mo
```

- energy of formation from the pure elements (eV/atom) = 0.14
- space-group type = P4/mmm, No. 123